Record 1
First-principles (PBE) data for a geometry-optimized SrFeAs2 structure, as listed in the Alexandria database.

a = 4.703 Å, b = 4.703 Å, c = 3.937 Å
α = 89.92°, β = 89.92°, γ = 98.72°
Each line ends with the local moment (μB).
Sites, in units of the cell vectors:
As 0.000 0.000 0.000  -0.02
As 0.500 0.500 0.000  -0.02
Fe 0.500 0.000 0.500  3.08
Sr 0.000 0.500 0.500  -0.01

Calculated formation energy: 40 meV per atom
Volume: 21.5 Å³/atom
Total energy: -4.8207 eV/atom
Space-group type: C2/m
D(E_F): 3.7 states/eV/f.u.

---

Record 2
First-principles (PBE) data for a geometry-optimized Na2Al3P3H2O14 structure, as listed in the Alexandria database.

a = 8.558 Å, b = 8.556 Å, c = 14.465 Å
α = 90.00°, β = 90.00°, γ = 90.00°
Sites, in units of the cell vectors:
Na 0.770 0.990 0.787
Na 0.730 0.010 0.287
Na 0.230 0.490 0.713
Na 0.270 0.510 0.213
Na 0.245 0.531 0.459
Na 0.255 0.469 0.959
Na 0.755 0.031 0.041
Na 0.745 0.969 0.541
Al 0.132 0.096 0.708
Al 0.368 0.904 0.208
Al 0.868 0.596 0.792
Al 0.632 0.404 0.292
Al 0.367 0.886 0.551
Al 0.133 0.114 0.051
Al 0.633 0.386 0.949
Al 0.867 0.614 0.449
Al 0.641 0.356 0.637
Al 0.859 0.644 0.137
Al 0.359 0.856 0.863
Al 0.141 0.144 0.363
P 0.465 0.213 0.458
P 0.035 0.787 0.958
P 0.535 0.713 0.042
P 0.965 0.287 0.542
P 0.025 0.780 0.622
P 0.475 0.220 0.122
P 0.975 0.280 0.878
P 0.525 0.720 0.378
P 0.548 0.699 0.704
P 0.952 0.301 0.204
P 0.452 0.199 0.796
P 0.048 0.801 0.296
H 0.342 0.140 0.609
H 0.158 0.860 0.109
H 0.658 0.640 0.891
H 0.842 0.360 0.391
H 0.893 0.367 0.702
H 0.607 0.633 0.202
H 0.107 0.867 0.798
H 0.393 0.133 0.298
O 0.568 0.234 0.371
O 0.932 0.766 0.871
O 0.432 0.734 0.129
O 0.068 0.266 0.629
O 0.713 0.733 0.742
O 0.787 0.267 0.242
O 0.287 0.233 0.758
O 0.213 0.767 0.258
O 0.279 0.046 0.616
O 0.221 0.954 0.116
O 0.721 0.546 0.884
O 0.779 0.454 0.384
O 0.803 0.437 0.709
O 0.697 0.563 0.209
O 0.197 0.937 0.791
O 0.303 0.063 0.291
O 0.987 0.949 0.656
O 0.513 0.051 0.156
O 0.013 0.449 0.844
O 0.487 0.551 0.344
O 0.519 0.824 0.629
O 0.981 0.176 0.129
O 0.481 0.324 0.871
O 0.019 0.676 0.371
O 0.898 0.745 0.549
O 0.602 0.255 0.049
O 0.102 0.245 0.951
O 0.398 0.755 0.451
O 0.979 0.163 0.796
O 0.521 0.837 0.296
O 0.021 0.663 0.704
O 0.479 0.337 0.204
O 0.191 0.764 0.578
O 0.309 0.236 0.078
O 0.809 0.264 0.922
O 0.691 0.736 0.422
O 0.987 0.460 0.511
O 0.513 0.540 0.011
O 0.013 0.960 0.989
O 0.487 0.040 0.489
O 0.501 0.325 0.539
O 0.999 0.675 0.039
O 0.499 0.825 0.961
O 0.001 0.175 0.461
O 0.291 0.249 0.432
O 0.209 0.751 0.932
O 0.709 0.749 0.068
O 0.791 0.251 0.568
O 0.527 0.534 0.662
O 0.973 0.466 0.162
O 0.473 0.034 0.838
O 0.027 0.966 0.338
O 0.424 0.708 0.782
O 0.076 0.292 0.282
O 0.576 0.208 0.718
O 0.924 0.792 0.218

Volume: 11.0 Å³/atom
Total energy: -6.8081 eV/atom
Space-group type: P2_12_12_1
D(E_F): 0.0 states/eV/f.u.

---

Record 3
First-principles (PBE) data for a geometry-optimized K2RbGaCl6 structure, as listed in the Alexandria database.

a = 7.714 Å, b = 7.714 Å, c = 7.714 Å
α = 60.00°, β = 60.00°, γ = 60.00°
Sites, in units of the cell vectors:
K 0.750 0.750 0.750
K 0.250 0.250 0.250
Rb 0.500 0.500 0.500
Ga 0.000 0.000 0.000
Cl 0.219 0.781 0.219
Cl 0.781 0.219 0.219
Cl 0.781 0.219 0.781
Cl 0.219 0.219 0.781
Cl 0.781 0.781 0.219
Cl 0.219 0.781 0.781

Energy relative to the elements, uncorrected: -15.52 eV per formula unit
Volume: 32.5 Å³/atom
Total energy: -3.2791 eV/atom
Space-group type: Fm-3m
D(E_F): 0.0 states/eV/f.u.

---

Record 4
First-principles (PBE) data for a geometry-optimized FeSb2Te structure, as listed in the Alexandria database.

a = 5.217 Å, b = 5.217 Å, c = 3.632 Å
α = 90.00°, β = 90.00°, γ = 103.34°
Each line ends with the local moment (μB).
Sites, in units of the cell vectors:
Fe 0.000 0.500 0.500  2.98
Sb 0.000 0.000 0.000  -0.01
Sb 0.500 0.500 0.000  -0.01
Te 0.500 0.000 0.500  0.01

Energy relative to the elements, uncorrected: 2.35 eV per formula unit
Volume: 24.0 Å³/atom
Total energy: -4.3746 eV/atom
Space-group type: Cmmm
D(E_F): 5.2 states/eV/f.u.

---

Record 5
First-principles (PBE) data for a geometry-optimized Sm3Ti5O12 structure, as listed in the Alexandria database.

a = 11.038 Å, b = 11.038 Å, c = 11.038 Å
α = 109.47°, β = 109.47°, γ = 109.47°
Each line ends with the local moment (μB).
Sites, in units of the cell vectors:
Sm 0.750 0.375 0.125  0.04
Sm 0.875 0.750 0.125  0.04
Sm 0.375 0.750 0.625  0.04
Sm 0.250 0.125 0.375  0.04
Sm 0.875 0.125 0.250  0.04
Sm 0.375 0.625 0.250  0.04
Sm 0.625 0.375 0.750  0.04
Sm 0.125 0.875 0.750  0.04
Sm 0.750 0.875 0.625  0.04
Sm 0.625 0.250 0.375  0.04
Sm 0.125 0.250 0.875  0.04
Sm 0.250 0.625 0.875  0.04
Ti 0.125 0.375 0.250  0.47
Ti 0.000 0.500 0.000  1.09
Ti 0.000 0.000 0.000  1.09
Ti 0.375 0.250 0.125  0.47
Ti 0.500 0.000 0.500  1.09
Ti 0.500 0.500 0.000  1.09
Ti 0.125 0.750 0.375  0.47
Ti 0.750 0.125 0.875  0.47
Ti 0.750 0.625 0.375  0.47
Ti 0.375 0.125 0.750  0.47
Ti 0.625 0.875 0.250  0.47
Ti 0.500 0.500 0.500  1.09
Ti 0.500 0.000 0.000  1.09
Ti 0.000 0.000 0.500  1.09
Ti 0.250 0.375 0.625  0.47
Ti 0.250 0.875 0.125  0.47
Ti 0.000 0.500 0.500  1.09
Ti 0.875 0.250 0.625  0.47
Ti 0.625 0.750 0.875  0.47
Ti 0.875 0.625 0.750  0.47
O 0.707 0.121 0.025  -0.01
O 0.318 0.525 0.404  -0.01
O 0.975 0.379 0.293  -0.01
O 0.525 0.207 0.121  -0.01
O 0.586 0.707 0.682  -0.01
O 0.975 0.596 0.182  -0.01
O 0.318 0.793 0.414  -0.01
O 0.096 0.914 0.121  -0.01
O 0.596 0.975 0.682  -0.01
O 0.707 0.586 0.182  -0.01
O 0.793 0.475 0.379  -0.01
O 0.818 0.904 0.025  -0.01
O 0.121 0.707 0.525  -0.01
O 0.379 0.404 0.086  -0.01
O 0.086 0.904 0.379  -0.01
O 0.414 0.121 0.596  -0.01
O 0.086 0.182 0.207  -0.01
O 0.475 0.682 0.096  -0.01
O 0.818 0.914 0.293  -0.01
O 0.121 0.414 0.096  -0.01
O 0.379 0.975 0.793  -0.01
O 0.596 0.621 0.414  -0.01
O 0.904 0.818 0.525  -0.01
O 0.793 0.318 0.914  -0.01
O 0.404 0.379 0.586  -0.01
O 0.096 0.182 0.475  -0.01
O 0.207 0.682 0.086  -0.01
O 0.182 0.086 0.707  -0.01
O 0.621 0.025 0.207  -0.01
O 0.879 0.586 0.904  -0.01
O 0.525 0.318 0.904  -0.01
O 0.586 0.879 0.404  -0.01
O 0.914 0.818 0.793  -0.01
O 0.914 0.096 0.621  -0.01
O 0.879 0.293 0.475  -0.01
O 0.182 0.096 0.975  -0.01
O 0.621 0.596 0.914  -0.01
O 0.404 0.025 0.318  -0.01
O 0.293 0.414 0.818  -0.01
O 0.207 0.525 0.621  -0.01
O 0.904 0.086 0.879  -0.01
O 0.682 0.207 0.586  -0.01
O 0.475 0.793 0.879  -0.01
O 0.025 0.404 0.818  -0.01
O 0.414 0.293 0.318  -0.01
O 0.025 0.621 0.707  -0.01
O 0.682 0.475 0.596  -0.01
O 0.293 0.879 0.975  -0.01

Energy relative to the elements, uncorrected: -60.81 eV per formula unit
Volume: 12.9 Å³/atom
Total energy: -8.6969 eV/atom
Space-group type: Ia-3d
D(E_F): 9.5 states/eV/f.u.

---

Record 6
First-principles (PBE) data for a geometry-optimized NaNi4SbAs2 structure, as listed in the Alexandria database.

a = 3.778 Å, b = 3.778 Å, c = 9.705 Å
α = 90.00°, β = 90.00°, γ = 90.00°
Sites, in units of the cell vectors:
Na 0.000 0.000 0.500
Ni 0.000 0.500 0.182
Ni 0.500 0.000 0.818
Ni 0.500 0.000 0.182
Ni 0.000 0.500 0.818
Sb 0.000 0.000 0.000
As 0.500 0.500 0.322
As 0.500 0.500 0.678

Energy relative to the elements, uncorrected: -1.82 eV per formula unit
Volume: 17.3 Å³/atom
Total energy: -4.9602 eV/atom
Space-group type: P4/mmm
D(E_F): 6.5 states/eV/f.u.

---

Record 7
First-principles (PBE) data for a geometry-optimized LiReAs2 structure, as listed in the Alexandria database.

a = 3.144 Å, b = 4.028 Å, c = 4.970 Å
α = 90.00°, β = 90.00°, γ = 90.00°
Sites, in units of the cell vectors:
As 0.000 0.000 0.951
As 0.500 0.500 0.300
Li 0.000 0.000 0.463
Re 0.500 0.500 0.786

Calculated formation energy: 96 meV per atom
Volume: 15.7 Å³/atom
Total energy: -5.8197 eV/atom
Space-group type: Pmm2
Offset from the most stable computed form: 0.283 eV per atom
D(E_F): 2.1 states/eV/f.u.

---

Record 8
First-principles (PBE) data for a geometry-optimized NdHfIr4 structure, as listed in the Alexandria database.

a = 5.337 Å, b = 5.337 Å, c = 5.337 Å
α = 60.00°, β = 60.00°, γ = 60.00°
Sites, in units of the cell vectors:
Nd 0.000 0.000 0.000
Ir 0.625 0.625 0.126
Ir 0.625 0.126 0.625
Ir 0.625 0.625 0.625
Ir 0.126 0.625 0.625
Hf 0.250 0.250 0.250

Calculated formation energy: -612 meV per atom
Volume: 17.9 Å³/atom
Total energy: -8.9725 eV/atom
Space-group type: F-43m
D(E_F): 3.2 states/eV/f.u.